# ScFePO2 | Alexandria | PBE with a Hubbard U | relaxed
data_ScFePO2
_space_group_name_H-M_alt 'P 4/m m m'
_space_group_IT_number 123
_space_group_name_Hall '-P 4 2'
_cell_length_a 3.9500
_cell_length_b 3.9500
_cell_length_c 5.5001
_cell_angle_alpha 90.00
_cell_angle_beta 90.00
_cell_angle_gamma 90.00
loop_
_atom_site_label
_atom_site_type_symbol
_atom_site_fract_x
_atom_site_fract_y
_atom_site_fract_z
_atom_site_occupancy
Sc1 Sc 0.0000 0.0000 0.0000 1
Fe1 Fe 0.5000 0.5000 0.5000 1
P1 P 0.0000 0.0000 0.5000 1
O1 O 0.0000 0.5000 0.0000 1
# calculated total energy	-31.409	eV/cell
# calculated volume	17.16	Å³/atom
# size of the total moment	4.96	μB/cell